# 1
# K2MnFeO4 | Alexandria via LeMat-Bulk | GGA+U | relaxed
data_K2MnFeO4
_space_group_name_H-M_alt 'P 1 2/m 1'
_space_group_IT_number 10
_cell_length_a 5.329
_cell_length_b 3.238
_cell_length_c 6.288
_cell_angle_alpha 90.00
_cell_angle_beta 105.31
_cell_angle_gamma 90.00
loop_
_space_group_symop_operation_xyz
'x,y,z'
'-x,-y,-z'
'-x,y,-z'
'x,-y,z'
loop_
_atom_site_label
_atom_site_type_symbol
_atom_site_fract_x
_atom_site_fract_y
_atom_site_fract_z
K1 K 0.000 0.000 0.000
K2 K 0.500 0.500 0.000
Mn1 Mn 0.000 0.500 0.500
Fe1 Fe 0.500 0.000 0.500
O1 O 0.239 0.000 0.680
O2 O 0.264 0.500 0.330
# Electronic total energy in eV/atom: -5.871

---

# 2
# Rb2NiH12Se2O14 | Alexandria via LeMat-Bulk | GGA+U | relaxed
data_Rb2NiH12Se2O14
_space_group_name_H-M_alt 'P 1 21/c 1'
_space_group_IT_number 14
_cell_length_a 6.434
_cell_length_b 12.690
_cell_length_c 9.323
_cell_angle_alpha 90.00
_cell_angle_beta 104.63
_cell_angle_gamma 90.00
loop_
_space_group_symop_operation_xyz
'x,y,z'
'-x,-y,-z'
'-x,y+1/2,-z+1/2'
'x,-y+1/2,z+1/2'
loop_
_atom_site_label
_atom_site_type_symbol
_atom_site_fract_x
_atom_site_fract_y
_atom_site_fract_z
Rb1 Rb 0.159 0.153 0.368
Ni1 Ni 0.500 0.000 0.000
H1 H 0.175 0.558 0.605
H2 H 0.182 0.637 0.474
H3 H 0.185 0.090 0.797
H4 H 0.407 0.127 0.762
H5 H 0.422 0.594 0.231
H6 H 0.495 0.682 0.354
Se1 Se 0.232 0.642 0.903
O1 O 0.077 0.746 0.914
O2 O 0.096 0.566 0.762
O3 O 0.214 0.562 0.507
O4 O 0.274 0.570 0.058
O5 O 0.337 0.111 0.843
O6 O 0.465 0.683 0.871
O7 O 0.480 0.107 0.169
# Electronic total energy in eV/atom: -5.022

---

Please write out number 1 again, unchanged.
# K2MnFeO4 | Alexandria via LeMat-Bulk | GGA+U | relaxed
data_K2MnFeO4
_space_group_name_H-M_alt 'P 1 2/m 1'
_space_group_IT_number 10
_cell_length_a 5.329
_cell_length_b 3.238
_cell_length_c 6.288
_cell_angle_alpha 90.00
_cell_angle_beta 105.31
_cell_angle_gamma 90.00
loop_
_space_group_symop_operation_xyz
'x,y,z'
'-x,-y,-z'
'-x,y,-z'
'x,-y,z'
loop_
_atom_site_label
_atom_site_type_symbol
_atom_site_fract_x
_atom_site_fract_y
_atom_site_fract_z
K1 K 0.000 0.000 0.000
K2 K 0.500 0.500 0.000
Mn1 Mn 0.000 0.500 0.500
Fe1 Fe 0.500 0.000 0.500
O1 O 0.239 0.000 0.680
O2 O 0.264 0.500 0.330
# Electronic total energy in eV/atom: -5.871

---

Question: Look up the electronic total energy of the first one.
Answer: -5.871 eV/atom

---

Question: What is the electronic total energy in the first record?
Answer: -5.871 eV/atom